1.
Crystalline LaCd2Ru at its relaxed geometry. Source: Alexandria, functional PBE-GGA.

Unit cell a=5.747 b=5.747 c=5.747 alpha=136.74 beta=136.74 gamma=62.84
Sites, in units of the cell vectors:
La  0.250  0.750  0.500
Ru  0.750  0.250  0.500
Cd  0.000  0.000  0.000
Cd  0.500  0.500  0.000



2.
Crystalline La2CdRu at its relaxed geometry. Source: Alexandria, functional PBE-GGA.

Unit cell a=6.939 b=6.939 c=4.947 alpha=69.14 beta=69.14 gamma=29.26
Sites, in units of the cell vectors:
La  0.810  0.810  0.690
La  0.006  0.006  0.994
Cd  0.186  0.186  0.314
Ru  0.498  0.498  0.502



Results for mass density: 8.77; 7.54 (in g/cm3, following the order of the records).
Results for E_form: -8.9; -15.2 (in kJ/mol of atoms, following the order of the records).
Results for energy: -0.151; -0.190 (in Ha/atom, following the order of the records).